Below is a relaxed structure of Li4Mn3CoO8, with properties calculated at the PBE+U level.

Values from the calculation:
- ρ (kg/m³) = 4152
- electronic total energy (eV per atom) = -6.36
- relative energy among the computed polymorphs (eV per atom) = 0.006

Lattice parameters (Å, degrees): 5.0726 5.1067 6.1500 92.82 94.81 106.50
Space group P-1 (No. 2)
Inequivalent atoms, fractional coordinates:
Li1 0.0000 0.0000 0.0000 [1 per cell]
Li2 0.0000 0.0000 0.5000 [1 per cell]
Li3 0.4990 0.0001 0.2555 [2 per cell]
Mn1 0.0007 0.4986 0.2522 [2 per cell]
Mn2 0.5000 0.5000 0.0000 [1 per cell]
Co1 0.5000 0.5000 0.5000 [1 per cell]
O1 0.2491 0.2694 0.7596 [2 per cell]
O2 0.2501 0.2688 0.2681 [2 per cell]
O3 0.2517 0.7325 0.9865 [2 per cell]
O4 0.2580 0.7293 0.4869 [2 per cell]